No. 1
DFT (PBE-GGA) results for a geometry-optimized La2MgCoS6 structure.

The total energy comes out at -5.6600 eV/atom.

Lattice parameters (Å, degrees): 6.1882 6.2689 6.3407 67.06 66.84 67.05
With the nearest neighbours (Å) after each atom.
Fractional coordinates of all 10 atoms:
S 0.7313 0.8504 0.6763  1 Co 2.30, 1 Mg 2.54
S 0.1757 0.2315 0.8454  1 Co 2.29, 1 Mg 2.53
S 0.8243 0.7685 0.1546  1 Co 2.29, 1 Mg 2.53
S 0.3502 0.6746 0.2226  1 Co 2.28, 1 Mg 2.52
S 0.6498 0.3254 0.7774  1 Co 2.28, 1 Mg 2.52
S 0.2687 0.1496 0.3237  1 Co 2.30, 1 Mg 2.54
Mg 0.0000 0.5000 0.5000  6 S 2.52-2.54
La 0.7466 0.2417 0.2448  6 S 2.86-3.06
La 0.2534 0.7583 0.7552  6 S 2.86-3.06
Co 0.5000 0.0000 0.0000  6 S 2.28-2.30

---

No. 2
DFT (PBE-GGA) results for a geometry-optimized LaMgCoSi structure.

The energy above the most stable polymorph in this dataset is 19 meV/atom.

Lattice parameters (Å, degrees): 4.8290 4.8290 4.8290 60.00 60.00 60.00
With the nearest neighbours (Å) after each atom.
Fractional coordinates of all 4 atoms:
Co 0.5000 0.5000 0.5000  4 La 2.96, 4 Mg 2.96
La 0.2500 0.2500 0.2500  4 Si 2.96, 4 Co 2.96
Si 0.0000 0.0000 0.0000  4 La 2.96, 4 Mg 2.96
Mg 0.7500 0.7500 0.7500  4 Co 2.96, 4 Si 2.96

---

No. 3
DFT (PBE-GGA) results for a geometry-optimized LaMgCoSi structure.

The energy above the most stable polymorph in this dataset is 0 meV/atom.

Lattice parameters (Å, degrees): 4.6596 4.6596 4.6596 60.00 60.00 60.00
With the nearest neighbours (Å) after each atom.
Fractional coordinates of all 4 atoms:
Si 0.0000 0.0000 0.0000  4 Co 2.85, 4 Mg 2.85
Mg 0.7500 0.7500 0.7500  4 La 2.85, 4 Si 2.85
Co 0.2500 0.2500 0.2500  4 La 2.85, 4 Si 2.85
La 0.5000 0.5000 0.5000  4 Co 2.85, 4 Mg 2.85

---

No. 4
DFT (PBE-GGA) results for a geometry-optimized LaMgCoSi structure.

The energy above the most stable polymorph in this dataset is 112 meV/atom.

Lattice parameters (Å, degrees): 4.7081 4.7081 4.7081 60.00 60.00 60.00
With the nearest neighbours (Å) after each atom.
Fractional coordinates of all 4 atoms:
Mg 0.7500 0.7500 0.7500  4 La 2.88, 4 Co 2.88
Co 0.0000 0.0000 0.0000  4 Si 2.88, 4 Mg 2.88
La 0.5000 0.5000 0.5000  4 Si 2.88, 4 Mg 2.88
Si 0.2500 0.2500 0.2500  4 La 2.88, 4 Co 2.88

---

No. 5
DFT (PBE-GGA) results for a geometry-optimized La3CoN4 structure.

The total energy comes out at -7.5357 eV/atom.

Lattice parameters (Å, degrees): 3.7374 3.9575 8.2466 93.12 94.33 92.97
With the nearest neighbours (Å) after each atom.
Fractional coordinates of all 8 atoms:
N 0.2926 0.2450 0.6484  1 N 1.42
N 0.5039 0.7323 0.1990  1 N 1.42
N 0.4961 0.2677 0.8010  1 N 1.42
N 0.7074 0.7550 0.3516  1 N 1.42
La 0.0000 0.5000 0.0000  4 N 2.50-2.73, 4 Co 2.65-2.79
La 0.7601 0.7791 0.6523  6 N 2.47-2.67
La 0.2399 0.2209 0.3477  6 N 2.47-2.67
Co 0.5000 0.0000 0.0000  2 N 2.00

---

No. 6
DFT (PBE-GGA) results for a geometry-optimized La2CoN3 structure.

The total energy comes out at -7.8808 eV/atom.

Lattice parameters (Å, degrees): 6.8250 6.8250 6.8250 148.87 147.84 45.36
With the nearest neighbours (Å) after each atom.
Fractional coordinates of all 6 atoms:
N 0.1566 0.1566 0.0000  1 Co 1.97
N 0.8434 0.8434 0.0000  1 Co 1.97
N 0.5000 0.0000 0.5000  2 Co 1.89
Co 0.0000 0.0000 0.0000  4 N 1.89-1.97
La 0.3543 0.3543 0.0000  7 N 2.49-2.64
La 0.6457 0.6457 0.0000  7 N 2.49-2.64

---

Please write out number 3 again, unchanged.
DFT (PBE-GGA) results for a geometry-optimized LaMgCoSi structure.

The energy above the most stable polymorph in this dataset is 0 meV/atom.

Lattice parameters (Å, degrees): 4.6596 4.6596 4.6596 60.00 60.00 60.00
With the nearest neighbours (Å) after each atom.
Fractional coordinates of all 4 atoms:
Si 0.0000 0.0000 0.0000  4 Co 2.85, 4 Mg 2.85
Mg 0.7500 0.7500 0.7500  4 La 2.85, 4 Si 2.85
Co 0.2500 0.2500 0.2500  4 La 2.85, 4 Si 2.85
La 0.5000 0.5000 0.5000  4 Co 2.85, 4 Mg 2.85